# 1
MoAs: optimized geometry, PBE.

Results
ΔH_f (0 K) = -0.053 eV per atom
SG = Pnma (62)

abc: 4.3770 5.0321 5.9665
angles: 90.00 90.00 90.00
Atoms (fractional coordinates):
Mo 0.7500 0.3434 0.0275
Mo 0.2500 0.8434 0.4725
Mo 0.7500 0.1566 0.5275
Mo 0.2500 0.6566 0.9725
As 0.7500 0.8601 0.1744
As 0.2500 0.3601 0.3256
As 0.7500 0.6399 0.6744
As 0.2500 0.1399 0.8256

***

# 2
Ac2RuSe: optimized geometry, PBE.

Results
ΔE_f (raw) = -0.793 eV/atom
SG = P4/mmm (123)

abc: 3.7304 3.7304 7.8807
angles: 90.00 90.00 90.00
Atoms (fractional coordinates):
Ru 0.5000 0.5000 0.0000
Ac 0.0000 0.0000 0.7661
Ac 0.0000 0.0000 0.2339
Se 0.5000 0.5000 0.5000

***

# 3
LiVI4: optimized geometry, PBE.

Results
ΔE_f (raw) = -0.689 eV/atom
SG = P2/m (10)

abc: 4.0772 7.1822 7.2438
angles: 89.31 90.00 90.00
Site moments in Bohr magnetons follow the coordinates.
Atoms (fractional coordinates):
Li 0.5000 0.5000 0.0000  0.00
V 0.0000 0.0000 0.0000  2.02
I 0.0000 0.3134 0.7789  -0.06
I 0.5000 0.1499 0.2200  -0.05
I 0.5000 0.8501 0.7800  -0.05
I 0.0000 0.6866 0.2211  -0.06

***

# 4
GdPu2H: optimized geometry, PBE.

Results
SG = R-3m (166)

abc: 3.3577 3.3577 10.2685
angles: 80.59 80.59 60.00
Site moments in Bohr magnetons follow the coordinates.
Atoms (fractional coordinates):
H 0.5000 0.5000 0.5000  0.02
Gd 0.0000 0.0000 0.0000  7.18
Pu 0.4302 0.4302 0.7093  -5.54
Pu 0.5698 0.5698 0.2907  -5.54

***

# 5
Fe7Ir: optimized geometry, PBE.

Results
ΔH_f (0 K) = -0.022 eV per atom
SG = I4/mmm (139)

abc: 4.0867 4.0867 6.4976
angles: 108.33 108.33 90.00
Site moments in Bohr magnetons follow the coordinates.
Atoms (fractional coordinates):
Fe 0.8713 0.3713 0.7426  2.55
Fe 0.7497 0.7497 0.4994  2.46
Fe 0.6287 0.1287 0.2574  2.55
Fe 0.5000 0.5000 0.0000  2.55
Fe 0.3713 0.8713 0.7426  2.55
Fe 0.2503 0.2503 0.5006  2.46
Fe 0.1287 0.6287 0.2574  2.55
Ir 0.0000 0.0000 0.0000  0.59

***

# 6
ScTcRh2: optimized geometry, PBE.

Results
ΔH_f (0 K) = -0.334 eV per atom
SG = Cm (8)

abc: 4.8395 4.8395 4.7944
angles: 79.96 79.96 34.34
Atoms (fractional coordinates):
Rh 0.9988 0.9988 0.9604
Rh 0.2569 0.2569 0.2730
Sc 0.5069 0.5069 0.4683
Tc 0.7374 0.7374 0.7983

***

# 7
Sm6InHg8: optimized geometry, PBE.

Results
ΔH_f (0 K) = -0.337 eV per atom
SG = R-3 (148)

abc: 8.0794 8.0794 8.0794
angles: 67.69 67.69 67.69
Atoms (fractional coordinates):
Sm 0.1307 0.3957 0.6796
Sm 0.3204 0.8693 0.6043
Sm 0.6043 0.3204 0.8693
Sm 0.3957 0.6796 0.1307
Sm 0.6796 0.1307 0.3957
Sm 0.8693 0.6043 0.3204
In 0.0000 0.0000 0.0000
Hg 0.1747 0.5673 0.9416
Hg 0.0584 0.8253 0.4327
Hg 0.4327 0.0584 0.8253
Hg 0.7070 0.7070 0.7070
Hg 0.2930 0.2930 0.2930
Hg 0.5673 0.9416 0.1747
Hg 0.9416 0.1747 0.5673
Hg 0.8253 0.4327 0.0584

***

# 8
Ba3LiAs2S6: optimized geometry, PBE.

Results
ΔE_f (raw) = -1.174 eV/atom
SG = P-3m1 (164)

abc: 7.1065 7.1065 7.8567
angles: 90.00 90.00 120.00
Atoms (fractional coordinates):
Ba 0.3333 0.6667 0.6274
Ba 0.6667 0.3333 0.3726
Ba 0.0000 0.0000 0.0000
Li 0.0000 0.0000 0.5000
As 0.6667 0.3333 0.8418
As 0.3333 0.6667 0.1582
S 0.6611 0.8306 0.2973
S 0.1694 0.3389 0.2973
S 0.1694 0.8306 0.2973
S 0.8306 0.6611 0.7027
S 0.3389 0.1694 0.7027
S 0.8306 0.1694 0.7027

***

# 9
Nd2Ga4GePd3: optimized geometry, PBE.

Results
ΔH_f (0 K) = -0.732 eV per atom
SG = P-4m2 (115)

abc: 4.3667 4.3667 10.3155
angles: 90.00 90.00 90.00
Atoms (fractional coordinates):
Nd 0.5000 0.0000 0.2476
Nd 0.0000 0.5000 0.7524
Ga 0.5000 0.5000 0.0000
Ga 0.0000 0.0000 0.0000
Ga 0.5000 0.0000 0.6390
Ga 0.0000 0.5000 0.3610
Ge 0.5000 0.5000 0.5000
Pd 0.0000 0.0000 0.5000
Pd 0.5000 0.0000 0.8756
Pd 0.0000 0.5000 0.1244

***

# 10
K4Zr3CoSe8: optimized geometry, PBE.

Results
ΔE_f (raw) = -1.152 eV/atom
SG = R-3m (166)

abc: 7.8717 8.9294 7.8742
angles: 116.19 119.99 90.00
Site moments in Bohr magnetons follow the coordinates.
Atoms (fractional coordinates):
K 0.5000 0.0000 0.0000  0.01
K 0.5000 0.0000 0.5000  0.00
K 0.0000 0.0000 0.0000  0.00
K 0.0000 0.0000 0.5000  0.00
Zr 0.5000 0.5000 0.0000  -0.01
Zr 0.5000 0.5000 0.5000  -0.01
Zr 0.0000 0.5000 0.5000  -0.01
Co 0.0000 0.5000 0.0000  2.02
Se 0.2285 0.6944 0.9659  0.03
Se 0.2288 0.6946 0.4577  0.03
Se 0.2653 0.2959 0.5306  0.00
Se 0.7374 0.6944 0.9659  0.03
Se 0.2626 0.3056 0.0341  0.03
Se 0.7347 0.7041 0.4694  0.00
Se 0.7712 0.3054 0.5423  0.03
Se 0.7715 0.3056 0.0341  0.03

***

# 11
TbScS2: optimized geometry, PBE.

Results
ΔE_f (raw) = -1.930 eV/atom
SG = R-3m (166)

abc: 3.8122 3.8122 6.5967
angles: 73.21 73.21 60.00
Atoms (fractional coordinates):
Sc 0.0000 0.0000 0.0000
S 0.2561 0.2561 0.2317
S 0.7439 0.7439 0.7683
Tb 0.5000 0.5000 0.5000

***

# 12
Pu2HgF8: optimized geometry, PBE.

Results
ΔE_f (raw) = -3.061 eV/atom
SG = C2/m (12)

abc: 4.4876 6.6975 6.6975
angles: 116.62 92.35 92.35
Site moments in Bohr magnetons follow the coordinates.
Atoms (fractional coordinates):
F 0.4152 0.9649 0.6531  -0.05
F 0.4152 0.6531 0.9649  -0.05
F 0.7344 0.5996 0.5996  -0.04
F 0.0000 0.2890 0.7046  -0.03
F 0.0000 0.7046 0.2890  -0.03
F 0.2657 0.3946 0.3946  -0.04
F 0.5849 0.3406 0.0290  -0.05
F 0.5849 0.0290 0.3406  -0.05
Hg 0.0001 0.9969 0.9969  -0.29
Pu 0.5001 0.6691 0.3247  4.36
Pu 0.5001 0.3247 0.6691  4.36

***

# 13
Cs2NaBiAu: optimized geometry, PBE.

Results
ΔH_f (0 K) = -0.116 eV per atom
SG = P4/mmm (123)

abc: 7.0367 7.0367 5.5094
angles: 90.00 90.00 90.00
Atoms (fractional coordinates):
Cs 0.0000 0.5000 0.0000
Cs 0.5000 0.0000 0.0000
Na 0.5000 0.5000 0.5000
Au 0.0000 0.0000 0.0000
Bi 0.0000 0.0000 0.5000

***

# 14
Al2IrBr: optimized geometry, PBE.

Results
ΔE_f (raw) = -0.375 eV/atom
SG = C2/m (12)

abc: 3.7822 3.7822 7.6734
angles: 104.10 104.10 60.06
Atoms (fractional coordinates):
Ir 0.2500 0.2500 0.2500
Al 0.8635 0.8635 0.0890
Al 0.6366 0.6366 0.4110
Br 0.7500 0.7500 0.7500

***

# 15
U3Tl4CoS8: optimized geometry, PBE.

Results
ΔE_f (raw) = -0.838 eV/atom
SG = R-3m (166)

abc: 7.7335 8.8945 7.7334
angles: 115.78 120.00 90.00
Site moments in Bohr magnetons follow the coordinates.
Atoms (fractional coordinates):
U 0.5000 0.5000 0.0000  2.18
U 0.5000 0.5000 0.5000  2.18
U 0.0000 0.5000 0.5000  2.18
Tl 0.5000 0.0000 0.0000  0.04
Tl 0.5000 0.0000 0.5000  0.01
Tl 0.0000 0.0000 0.0000  0.01
Tl 0.0000 0.0000 0.5000  0.01
Co 0.0000 0.5000 0.0000  1.75
S 0.2229 0.6892 0.9663  -0.04
S 0.2229 0.6892 0.4459  -0.04
S 0.2657 0.2972 0.5315  -0.06
S 0.7435 0.6892 0.9663  -0.04
S 0.2565 0.3108 0.0337  -0.04
S 0.7343 0.7028 0.4685  -0.06
S 0.7771 0.3108 0.5541  -0.04
S 0.7771 0.3108 0.0337  -0.04

***

# 16
PmHgBiPd: optimized geometry, PBE.

Results
ΔH_f (0 K) = -0.517 eV per atom
SG = F-43m (216)

abc: 5.1675 5.1675 5.1675
angles: 60.00 60.00 60.00
Atoms (fractional coordinates):
Pm 0.5000 0.5000 0.5000
Bi 0.0000 0.0000 0.0000
Pd 0.2500 0.2500 0.2500
Hg 0.7500 0.7500 0.7500

***

# 17
Y2ReOs2: optimized geometry, PBE.

Results
ΔH_f (0 K) = -0.078 eV per atom
SG = P4/mbm (127)

abc: 6.5983 6.5983 4.7093
angles: 90.00 90.00 90.00
Atoms (fractional coordinates):
Y 0.1803 0.6803 0.5000
Y 0.6803 0.8197 0.5000
Y 0.8197 0.3197 0.5000
Y 0.3197 0.1803 0.5000
Re 0.0000 0.0000 0.0000
Re 0.5000 0.5000 0.0000
Os 0.3674 0.8674 0.0000
Os 0.8674 0.6326 0.0000
Os 0.6326 0.1326 0.0000
Os 0.1326 0.3674 0.0000

***

# 18
YCuTcGe2: optimized geometry, PBE.

Results
ΔH_f (0 K) = -0.402 eV per atom
SG = I-4m2 (119)

abc: 4.0570 4.0570 6.1097
angles: 109.39 109.39 90.00
Atoms (fractional coordinates):
Y 0.0000 0.0000 0.0000
Cu 0.7500 0.2500 0.5000
Tc 0.2500 0.7500 0.5000
Ge 0.6196 0.6196 0.2393
Ge 0.3804 0.3804 0.7607

***

# 19
CaNiHg2: optimized geometry, PBE.

Results
ΔH_f (0 K) = -0.141 eV per atom
SG = Immm (71)

abc: 5.5092 5.5092 5.5092
angles: 139.04 126.49 69.52
Atoms (fractional coordinates):
Ni 0.2500 0.7500 0.5000
Ca 0.7500 0.2500 0.5000
Hg 0.0380 0.0380 0.0000
Hg 0.4620 0.4620 0.0000

***

# 20
Sm2Ho2In: optimized geometry, PBE.

Results
ΔH_f (0 K) = 0.315 eV per atom
SG = I4/mmm (139)

abc: 4.3579 4.3579 9.2013
angles: 103.70 103.70 90.00
Atoms (fractional coordinates):
Sm 0.7500 0.2500 0.5000
Sm 0.2500 0.7500 0.5000
Ho 0.4123 0.4123 0.8245
Ho 0.5877 0.5877 0.1755
In 0.0000 0.0000 0.0000

***

| no. | uncorrected energy (eV/atom) | total moment (μB/cell) |
| --- | --- | --- |
| 1 | -7.793 | 0.0 |
| 2 | -6.038 | 0.0 |
| 3 | -3.561 | 2.0 |
| 4 | -11.195 | 4.5 |
| 5 | -8.535 | 18.1 |
| 6 | -8.184 | 0.0 |
| 7 | -2.568 | 0.0 |
| 8 | -4.653 | 0.0 |
| 9 | -4.916 | 0.0 |
| 10 | -5.216 | 2.2 |
| 11 | -6.734 | 0.0 |
| 12 | -7.055 | 8.0 |
| 13 | -2.153 | 0.2 |
| 14 | -4.880 | 0.0 |
| 15 | -6.054 | 9.0 |
| 16 | -4.049 | 0.0 |
| 17 | -9.645 | 0.0 |
| 18 | -6.434 | 0.0 |
| 19 | -2.237 | 0.0 |
| 20 | -3.952 | 0.0 |